Record 1
DFT (PBEsol) results for a relaxed BaLiHg2 crystal.

Results
The calculated formation energy comes out at -0.46 eV/atom. The crystal system is trigonal.

```
4
Lattice="4.856 0.000 0.000 2.428 4.205 0.000 2.428 1.402 5.586" Properties=species:S:1:pos:R:3 pbc="T T T"
Ba 0.000 0.000 0.000
Li 4.856 2.803 2.793
Hg 2.428 1.402 2.185
Hg 7.284 4.205 3.401
```

***

Record 2
DFT (PBEsol) results for a relaxed NbFeMo2 crystal.

Results
The calculated formation energy comes out at 0.16 eV/atom. The crystal system is cubic.

```
4
Lattice="4.371 0.000 0.000 2.186 3.786 0.000 2.186 1.262 3.569" Properties=species:S:1:pos:R:3 pbc="T T T"
Mo 6.557 3.786 2.677
Mo 2.186 1.262 0.892
Fe 0.000 0.000 0.000
Nb 4.371 2.524 1.785
```